# LiHfCoB | OQMD via LeMat-Bulk | PBE | optimized geometry
# Symmetry ... F-43m (216)
# Total moment ... 0.0 μB/cell
# E above lowest polymorph ... 0 meV per atom
# Calculated density ... 9.39 g/cm³
data_LiHfCoB
_symmetry_space_group_name_H-M 'P 1'
_symmetry_Int_Tables_number 1
_cell_length_a 3.996
_cell_length_b 3.996
_cell_length_c 3.996
_cell_angle_alpha 60.00
_cell_angle_beta 60.00
_cell_angle_gamma 60.00
loop_
_symmetry_equiv_pos_as_xyz
'x,y,z'
loop_
_atom_site_label
_atom_site_type_symbol
_atom_site_fract_x
_atom_site_fract_y
_atom_site_fract_z
_atom_site_occupancy
Li1 Li 0.000 0.000 0.000 1
Hf1 Hf 0.250 0.250 0.250 1
Co1 Co 0.750 0.750 0.750 1
B1 B 0.500 0.500 0.500 1

=====

# LiHfCoB | OQMD via LeMat-Bulk | PBE | optimized geometry
# Symmetry ... F-43m (216)
# Total moment ... 0.4 μB/cell
# E above lowest polymorph ... 107 meV per atom
# Calculated density ... 9.19 g/cm³
data_LiHfCoB
_symmetry_space_group_name_H-M 'P 1'
_symmetry_Int_Tables_number 1
_cell_length_a 4.025
_cell_length_b 4.025
_cell_length_c 4.025
_cell_angle_alpha 60.00
_cell_angle_beta 60.00
_cell_angle_gamma 60.00
loop_
_symmetry_equiv_pos_as_xyz
'x,y,z'
loop_
_atom_site_label
_atom_site_type_symbol
_atom_site_fract_x
_atom_site_fract_y
_atom_site_fract_z
_atom_site_occupancy
Li1 Li 0.000 0.000 0.000 1
Hf1 Hf 0.750 0.750 0.750 1
Co1 Co 0.500 0.500 0.500 1
B1 B 0.250 0.250 0.250 1

=====

- What is the calculated density in the second record?
  9.19 g/cm³

=====

- Which formula does entry 1 have?
  LiHfCoB

=====

- Number 2 is which compound?
  LiHfCoB

=====

Please write out number 1 again, unchanged.
# LiHfCoB | OQMD via LeMat-Bulk | PBE | optimized geometry
# Symmetry ... F-43m (216)
# Total moment ... 0.0 μB/cell
# E above lowest polymorph ... 0 meV per atom
# Calculated density ... 9.39 g/cm³
data_LiHfCoB
_symmetry_space_group_name_H-M 'P 1'
_symmetry_Int_Tables_number 1
_cell_length_a 3.996
_cell_length_b 3.996
_cell_length_c 3.996
_cell_angle_alpha 60.00
_cell_angle_beta 60.00
_cell_angle_gamma 60.00
loop_
_symmetry_equiv_pos_as_xyz
'x,y,z'
loop_
_atom_site_label
_atom_site_type_symbol
_atom_site_fract_x
_atom_site_fract_y
_atom_site_fract_z
_atom_site_occupancy
Li1 Li 0.000 0.000 0.000 1
Hf1 Hf 0.250 0.250 0.250 1
Co1 Co 0.750 0.750 0.750 1
B1 B 0.500 0.500 0.500 1